{"formula": "KRbBeCl4", "functional": "GGA-PBE", "state": "optimized geometry", "magmom_total_mub_per_cell": 0.0, "raw_formation_energy_ev_per_atom": -1.80, "total_energy_ev_per_cell": -51.5, "spacegroup": "No. 11", "crystal_system": "monoclinic", "lattice_angstrom": [[6.6787, 0.0000, 0.0000], [0.0000, 6.9676, 0.0000], [-3.0102, 0.0000, 8.7322]], "species": ["K", "K", "Rb", "Rb", "Be", "Be", "Cl", "Cl", "Cl", "Cl", "Cl", "Cl", "Cl", "Cl"], "frac_coords": [[0.2034, 0.2500, 0.0347], [0.7966, 0.7500, 0.9653], [0.3157, 0.2500, 0.5877], [0.6843, 0.7500, 0.4123], [0.1942, 0.7500, 0.7881], [0.8058, 0.2500, 0.2119], [0.0019, 0.5149, 0.7348], [0.0019, 0.9851, 0.7348], [0.3458, 0.7500, 0.0203], [0.4007, 0.7500, 0.6673], [0.5993, 0.2500, 0.3327], [0.6542, 0.2500, 0.9797], [0.9981, 0.0149, 0.2652], [0.9981, 0.4851, 0.2652]]}